# 1
# Np3GeH3, optimized geometry, DFT PBE
# Spin magnetization, Bohr magnetons per cell: 4.49
# SG: P6_3/m
data_Np3GeH3
_chemical_formula_sum 'Np6 Ge2 H6'
_cell_length_a 3.4255
_cell_length_b 8.4572
_cell_length_c 8.4570
_cell_angle_alpha 120.01
_cell_angle_beta 90.00
_cell_angle_gamma 90.00
_symmetry_space_group_name_H-M 'P 1'
_symmetry_Int_Tables_number 1
_symmetry_space_group_name_Hall 'P 1'
loop_
_atom_site_label
_atom_site_type_symbol
_atom_site_fract_x
_atom_site_fract_y
_atom_site_fract_z
H1 H 0.2500 0.8894 0.1872
H2 H 0.2500 0.2976 0.1105
H3 H 0.7500 0.7024 0.8895
H4 H 0.7500 0.1871 0.2977
H5 H 0.7500 0.1106 0.8128
H6 H 0.2500 0.8129 0.7023
Np1 Np 0.2500 0.0387 0.6144
Np2 Np 0.7500 0.4243 0.0387
Np3 Np 0.2500 0.5757 0.9613
Np4 Np 0.2500 0.3856 0.4243
Np5 Np 0.7500 0.9613 0.3856
Np6 Np 0.7500 0.6144 0.5757
Ge1 Ge 0.7500 0.3333 0.6667
Ge2 Ge 0.2500 0.6667 0.3333

=====

# 2
# KSrP, optimized geometry, DFT PBE
# E_form, eV per atom: -0.52
# Spin magnetization, Bohr magnetons per cell: 0.00
# SG: P3m1
data_KSrP
_chemical_formula_sum 'K1 Sr1 P1'
_cell_length_a 6.0808
_cell_length_b 4.8724
_cell_length_c 4.8724
_cell_angle_alpha 120.00
_cell_angle_beta 90.00
_cell_angle_gamma 90.00
_symmetry_space_group_name_H-M 'P 1'
_symmetry_Int_Tables_number 1
_symmetry_space_group_name_Hall 'P 1'
loop_
_atom_site_label
_atom_site_type_symbol
_atom_site_fract_x
_atom_site_fract_y
_atom_site_fract_z
Sr1 Sr 0.1961 0.3333 0.6667
K1 K 0.7579 0.6667 0.3333
P1 P 0.0461 0.0000 0.0000

=====

# 3
# CaP2Cl, optimized geometry, DFT PBE
# Spin magnetization, Bohr magnetons per cell: 0.00
# Raw formation energy, eV/atom: -0.916
# SG: C2/m
data_CaP2Cl
_chemical_formula_sum 'Ca1 P2 Cl1'
_cell_length_a 6.2942
_cell_length_b 6.2942
_cell_length_c 4.4742
_cell_angle_alpha 80.30
_cell_angle_beta 80.30
_cell_angle_gamma 31.21
_symmetry_space_group_name_H-M 'P 1'
_symmetry_Int_Tables_number 1
_symmetry_space_group_name_Hall 'P 1'
loop_
_atom_site_label
_atom_site_type_symbol
_atom_site_fract_x
_atom_site_fract_y
_atom_site_fract_z
Cl1 Cl 0.2500 0.2500 0.2500
P1 P 0.0223 0.0223 0.8842
P2 P 0.4777 0.4777 0.6158
Ca1 Ca 0.7500 0.7500 0.7500

=====

# 4
# Ag2PtBr, optimized geometry, DFT PBE
# Spin magnetization, Bohr magnetons per cell: 0.00
# Raw formation energy, eV/atom: 0.383
# SG: I4/mmm
data_Ag2PtBr
_chemical_formula_sum 'Ag2 Pt1 Br1'
_cell_length_a 5.1731
_cell_length_b 5.1731
_cell_length_c 5.1731
_cell_angle_alpha 131.66
_cell_angle_beta 131.66
_cell_angle_gamma 70.77
_symmetry_space_group_name_H-M 'P 1'
_symmetry_Int_Tables_number 1
_symmetry_space_group_name_Hall 'P 1'
loop_
_atom_site_label
_atom_site_type_symbol
_atom_site_fract_x
_atom_site_fract_y
_atom_site_fract_z
Ag1 Ag 0.0000 0.0000 0.0000
Ag2 Ag 0.5000 0.5000 0.0000
Pt1 Pt 0.7500 0.2500 0.5000
Br1 Br 0.2500 0.7500 0.5000

=====

# 5
# KMgHg2Pd, optimized geometry, DFT PBE
# E_form, eV per atom: -0.24
# Spin magnetization, Bohr magnetons per cell: 0.00
# SG: P4/mmm
data_KMgHg2Pd
_chemical_formula_sum 'K1 Mg1 Hg2 Pd1'
_cell_length_a 5.3961
_cell_length_b 5.3961
_cell_length_c 5.0380
_cell_angle_alpha 90.00
_cell_angle_beta 90.00
_cell_angle_gamma 90.00
_symmetry_space_group_name_H-M 'P 1'
_symmetry_Int_Tables_number 1
_symmetry_space_group_name_Hall 'P 1'
loop_
_atom_site_label
_atom_site_type_symbol
_atom_site_fract_x
_atom_site_fract_y
_atom_site_fract_z
Pd1 Pd 0.0000 0.0000 0.0000
Hg1 Hg 0.5000 0.0000 0.0000
Hg2 Hg 0.0000 0.5000 0.0000
Mg1 Mg 0.0000 0.0000 0.5000
K1 K 0.5000 0.5000 0.5000

=====

# 6
# Zn2AgMo, optimized geometry, DFT PBE
# E_form, eV per atom: 0.13
# Spin magnetization, Bohr magnetons per cell: 0.00
# SG: R-3m
data_Zn2AgMo
_chemical_formula_sum 'Zn2 Ag1 Mo1'
_cell_length_a 9.2450
_cell_length_b 9.2450
_cell_length_c 9.2450
_cell_angle_alpha 17.59
_cell_angle_beta 17.59
_cell_angle_gamma 17.59
_symmetry_space_group_name_H-M 'P 1'
_symmetry_Int_Tables_number 1
_symmetry_space_group_name_Hall 'P 1'
loop_
_atom_site_label
_atom_site_type_symbol
_atom_site_fract_x
_atom_site_fract_y
_atom_site_fract_z
Zn1 Zn 0.4989 0.4989 0.4989
Zn2 Zn 0.0011 0.0011 0.0011
Mo1 Mo 0.7500 0.7500 0.7500
Ag1 Ag 0.2500 0.2500 0.2500

=====

# 7
# CaSbTe4, optimized geometry, DFT PBE
# Spin magnetization, Bohr magnetons per cell: 0.00
# Raw formation energy, eV/atom: 0.039
# SG: F-43m
data_CaSbTe4
_chemical_formula_sum 'Ca1 Sb1 Te4'
_cell_length_a 6.3879
_cell_length_b 6.3879
_cell_length_c 6.3879
_cell_angle_alpha 60.00
_cell_angle_beta 60.00
_cell_angle_gamma 60.00
_symmetry_space_group_name_H-M 'P 1'
_symmetry_Int_Tables_number 1
_symmetry_space_group_name_Hall 'P 1'
loop_
_atom_site_label
_atom_site_type_symbol
_atom_site_fract_x
_atom_site_fract_y
_atom_site_fract_z
Te1 Te 0.3749 0.3749 0.8753
Te2 Te 0.8753 0.3749 0.3749
Te3 Te 0.3749 0.8753 0.3749
Te4 Te 0.3749 0.3749 0.3749
Ca1 Ca 0.7500 0.7500 0.7500
Sb1 Sb 0.0000 0.0000 0.0000

=====

# 8
# TlCd2Cl, optimized geometry, DFT PBE
# Spin magnetization, Bohr magnetons per cell: 0.00
# Raw formation energy, eV/atom: -0.324
# SG: Pm
data_TlCd2Cl
_chemical_formula_sum 'Tl1 Cd2 Cl1'
_cell_length_a 4.8511
_cell_length_b 3.7706
_cell_length_c 7.3974
_cell_angle_alpha 58.08
_cell_angle_beta 90.00
_cell_angle_gamma 90.00
_symmetry_space_group_name_H-M 'P 1'
_symmetry_Int_Tables_number 1
_symmetry_space_group_name_Hall 'P 1'
loop_
_atom_site_label
_atom_site_type_symbol
_atom_site_fract_x
_atom_site_fract_y
_atom_site_fract_z
Cl1 Cl 0.0000 0.3769 0.6266
Tl1 Tl 0.5000 0.8790 0.6248
Cd1 Cd 0.0000 0.8731 0.1235
Cd2 Cd 0.5000 0.3711 0.1251

=====

# 9
# HoThCdPd, optimized geometry, DFT PBE
# E_form, eV per atom: -0.39
# Spin magnetization, Bohr magnetons per cell: 0.00
# SG: F-43m
data_HoThCdPd
_chemical_formula_sum 'Ho1 Th1 Cd1 Pd1'
_cell_length_a 5.2081
_cell_length_b 5.2081
_cell_length_c 5.2081
_cell_angle_alpha 60.00
_cell_angle_beta 60.00
_cell_angle_gamma 60.00
_symmetry_space_group_name_H-M 'P 1'
_symmetry_Int_Tables_number 1
_symmetry_space_group_name_Hall 'P 1'
loop_
_atom_site_label
_atom_site_type_symbol
_atom_site_fract_x
_atom_site_fract_y
_atom_site_fract_z
Ho1 Ho 0.5000 0.5000 0.5000
Pd1 Pd 0.7500 0.7500 0.7500
Cd1 Cd 0.2500 0.2500 0.2500
Th1 Th 0.0000 0.0000 0.0000

=====

# 10
# Li2CuTc, optimized geometry, DFT PBE
# E_form, eV per atom: 0.31
# Spin magnetization, Bohr magnetons per cell: 0.58
# SG: Imm2
data_Li2CuTc
_chemical_formula_sum 'Li2 Cu1 Tc1'
_cell_length_a 5.3501
_cell_length_b 5.3501
_cell_length_c 5.3501
_cell_angle_alpha 153.01
_cell_angle_beta 128.84
_cell_angle_gamma 58.79
_symmetry_space_group_name_H-M 'P 1'
_symmetry_Int_Tables_number 1
_symmetry_space_group_name_Hall 'P 1'
loop_
_atom_site_label
_atom_site_type_symbol
_atom_site_fract_x
_atom_site_fract_y
_atom_site_fract_z
Li1 Li 0.7583 0.2583 0.5000
Li2 Li 0.0107 0.0107 0.0000
Tc1 Tc 0.4880 0.4880 0.0000
Cu1 Cu 0.2430 0.7430 0.5000

=====

# 11
# CdPt2Rh2, optimized geometry, DFT PBE
# E_form, eV per atom: 0.18
# Spin magnetization, Bohr magnetons per cell: 0.00
# SG: I4/mmm
data_CdPt2Rh2
_chemical_formula_sum 'Cd1 Pt2 Rh2'
_cell_length_a 3.7556
_cell_length_b 3.7556
_cell_length_c 6.7889
_cell_angle_alpha 73.94
_cell_angle_beta 73.94
_cell_angle_gamma 90.00
_symmetry_space_group_name_H-M 'P 1'
_symmetry_Int_Tables_number 1
_symmetry_space_group_name_Hall 'P 1'
loop_
_atom_site_label
_atom_site_type_symbol
_atom_site_fract_x
_atom_site_fract_y
_atom_site_fract_z
Rh1 Rh 0.5982 0.5982 0.8037
Rh2 Rh 0.4018 0.4018 0.1963
Cd1 Cd 0.0000 0.0000 0.0000
Pt1 Pt 0.7500 0.2500 0.5000
Pt2 Pt 0.2500 0.7500 0.5000

=====

# 12
# MgAu2Cl, optimized geometry, DFT PBE
# Spin magnetization, Bohr magnetons per cell: 0.00
# Raw formation energy, eV/atom: 0.047
# SG: Fm-3m
data_MgAu2Cl
_chemical_formula_sum 'Mg1 Au2 Cl1'
_cell_length_a 4.8293
_cell_length_b 4.8293
_cell_length_c 4.8293
_cell_angle_alpha 60.00
_cell_angle_beta 60.00
_cell_angle_gamma 60.00
_symmetry_space_group_name_H-M 'P 1'
_symmetry_Int_Tables_number 1
_symmetry_space_group_name_Hall 'P 1'
loop_
_atom_site_label
_atom_site_type_symbol
_atom_site_fract_x
_atom_site_fract_y
_atom_site_fract_z
Mg1 Mg 0.0000 0.0000 0.0000
Cl1 Cl 0.5000 0.5000 0.5000
Au1 Au 0.7500 0.7500 0.7500
Au2 Au 0.2500 0.2500 0.2500

=====

# 13
# BaAlHg2, optimized geometry, DFT PBE
# E_form, eV per atom: -0.18
# Spin magnetization, Bohr magnetons per cell: 0.00
# SG: I-42d
data_BaAlHg2
_chemical_formula_sum 'Ba2 Al2 Hg4'
_cell_length_a 5.5730
_cell_length_b 5.5730
_cell_length_c 9.7529
_cell_angle_alpha 73.40
_cell_angle_beta 73.40
_cell_angle_gamma 90.00
_symmetry_space_group_name_H-M 'P 1'
_symmetry_Int_Tables_number 1
_symmetry_space_group_name_Hall 'P 1'
loop_
_atom_site_label
_atom_site_type_symbol
_atom_site_fract_x
_atom_site_fract_y
_atom_site_fract_z
Hg1 Hg 0.3750 0.5399 0.7500
Hg2 Hg 0.4601 0.1250 0.2500
Hg3 Hg 0.2899 0.6250 0.2500
Hg4 Hg 0.8750 0.7101 0.7500
Al1 Al 0.2500 0.7500 0.5000
Al2 Al 0.5000 0.5000 0.0000
Ba1 Ba 0.0000 0.0000 0.0000
Ba2 Ba 0.7500 0.2500 0.5000

=====

Calculated total energy, respectively: -0.56920 -0.23851 -0.33685 -0.21833 -0.14272 -0.28860 -0.22610 -0.13484 -0.36157 -0.31361 -0.39376 -0.18021 -0.12811 Ry per atom.